[1]
Crystalline Ca3TlPb at its relaxed geometry. Source: Alexandria via LeMat-Bulk, functional PBE-GGA.

## Properties
**Raw total energy**: -14.04 eV per formula unit
**Space group**: Cmcm (63)

```
Ca3TlPb
1.0
-6.472 -1.119 -2.734
-2.820 -3.724 8.200
-3.512 7.592 5.207
Pb Ca Tl
4 12 4
Direct
0.750 0.651 0.587 Pb
0.750 0.651 0.087 Pb
0.250 0.349 0.413 Pb
0.250 0.349 0.913 Pb
0.490 0.192 0.202 Ca
0.510 0.808 0.298 Ca
0.750 0.432 0.892 Ca
0.750 0.432 0.392 Ca
0.250 0.568 0.608 Ca
0.510 0.808 0.798 Ca
0.990 0.808 0.798 Ca
0.010 0.192 0.702 Ca
0.490 0.192 0.702 Ca
0.010 0.192 0.202 Ca
0.990 0.808 0.298 Ca
0.250 0.568 0.108 Ca
0.750 0.029 0.993 Tl
0.750 0.029 0.493 Tl
0.250 0.971 0.507 Tl
0.250 0.971 0.007 Tl
```



[2]
Crystalline Ca2TlPb6 at its relaxed geometry. Source: Alexandria via LeMat-Bulk, functional PBE-GGA.

## Properties
**Raw total energy**: -30.48 eV per formula unit
**Space group**: C2/m (12)

```
Ca2TlPb6
1.0
4.714 0.000 -1.410
-0.808 7.000 -2.702
-0.064 0.143 8.371
Pb Tl Ca
6 1 2
Direct
0.723 0.846 0.446 Pb
0.601 0.161 0.202 Pb
0.399 0.839 0.798 Pb
0.163 0.475 0.327 Pb
0.837 0.525 0.673 Pb
0.277 0.154 0.554 Pb
0.500 0.500 0.000 Tl
0.062 0.824 0.124 Ca
0.938 0.176 0.876 Ca
```



[3]
Crystalline CaTlPb at its relaxed geometry. Source: Alexandria via LeMat-Bulk, functional PBE-GGA.

## Properties
**Raw total energy**: -8.77 eV per formula unit
**Space group**: C2/m (12)

```
CaTlPb
1.0
-0.303 -2.400 2.888
-1.057 -3.217 -5.242
8.715 -0.005 0.911
Ca Tl Pb
2 2 2
Direct
0.136 0.271 0.260 Ca
0.864 0.729 0.740 Ca
0.123 0.247 0.623 Tl
0.877 0.753 0.377 Tl
0.621 0.241 0.930 Pb
0.379 0.759 0.070 Pb
```